{
  "formula": "TaGa2F",
  "functional": "GGA-PBE",
  "state": "relaxed",
  "raw_formation_energy_ev_per_atom": -0.013,
  "mass_density_g_cm3": 8.50,
  "relative_energy_kj_per_mol_atoms": 18.6,
  "cell": [[0.000, 3.212, 3.212], [3.212, 0.000, 3.212], [3.212, 3.212, 0.000]],
  "species": ["F", "Ga", "Ga", "Ta"],
  "frac_coords": [[0.000, 0.000, 0.000], [0.250, 0.250, 0.250], [0.750, 0.750, 0.750], [0.500, 0.500, 0.500]]
}

{
  "formula": "TaGa3F",
  "functional": "GGA-PBE",
  "state": "relaxed",
  "raw_formation_energy_ev_per_atom": -0.135,
  "mass_density_g_cm3": 8.37,
  "relative_energy_kj_per_mol_atoms": 0.0,
  "cell": [[-2.374, -3.530, -0.800], [3.422, -2.501, 0.879], [-1.179, -0.151, 4.163]],
  "species": ["F", "Ga", "Ga", "Ga", "Ta"],
  "frac_coords": [[0.000, 0.000, 0.000], [0.000, 0.500, 0.000], [0.000, 0.000, 0.500], [0.500, 0.000, 0.000], [0.500, 0.500, 0.500]]
}

{
  "formula": "TaGa2F",
  "functional": "GGA-PBE",
  "state": "relaxed",
  "raw_formation_energy_ev_per_atom": -0.205,
  "mass_density_g_cm3": 8.51,
  "relative_energy_kj_per_mol_atoms": 0.0,
  "cell": [[-5.613, 0.622, -3.085], [-2.191, -5.302, 2.916], [-5.025, -0.554, 2.319]],
  "species": ["F", "F", "Ga", "Ga", "Ga", "Ga", "Ta", "Ta"],
  "frac_coords": [[0.500, 0.500, 0.000], [0.250, 0.750, 0.500], [0.571, 0.125, 0.250], [0.179, 0.625, 0.250], [0.375, 0.429, 0.750], [0.875, 0.821, 0.750], [0.000, 0.000, 0.000], [0.750, 0.250, 0.500]]
}

{
  "formula": "Ta2GaF11",
  "functional": "GGA-PBE",
  "state": "relaxed",
  "raw_formation_energy_ev_per_atom": -2.986,
  "mass_density_g_cm3": 4.37,
  "cell": [[7.181, 0.000, 3.743], [3.225, 7.735, 2.573], [-0.004, 0.057, 8.766]],
  "species": ["Ta", "Ta", "Ta", "Ta", "Ga", "Ga", "F", "F", "F", "F", "F", "F", "F", "F", "F", "F", "F", "F", "F", "F", "F", "F", "F", "F", "F", "F", "F", "F"],
  "frac_coords": [[0.608, 0.684, 0.316], [0.392, 0.316, 0.684], [0.892, 0.184, 0.816], [0.108, 0.816, 0.184], [0.750, 0.750, 0.750], [0.250, 0.250, 0.250], [0.615, 0.716, 0.519], [0.385, 0.284, 0.481], [0.150, 0.519, 0.716], [0.885, 0.981, 0.784], [0.850, 0.481, 0.284], [0.115, 0.019, 0.216], [0.350, 0.784, 0.981], [0.650, 0.216, 0.019], [0.500, 0.500, 0.500], [0.000, 0.000, 0.000], [0.869, 0.792, 0.208], [0.131, 0.208, 0.792], [0.631, 0.292, 0.708], [0.369, 0.708, 0.292], [0.485, 0.932, 0.297], [0.515, 0.068, 0.703], [0.285, 0.297, 0.932], [0.015, 0.203, 0.568], [0.715, 0.703, 0.068], [0.985, 0.797, 0.432], [0.215, 0.568, 0.203], [0.785, 0.432, 0.797]]
}

{
  "formula": "TbGaF4",
  "functional": "GGA-PBE",
  "state": "relaxed",
  "raw_formation_energy_ev_per_atom": -2.981,
  "mass_density_g_cm3": 4.45,
  "cell": [[-2.559, -0.949, -6.015], [-5.332, -2.801, 2.711], [2.786, 4.206, 1.778]],
  "species": ["Tb", "Ga", "F", "F", "F", "F"],
  "frac_coords": [[0.750, 0.250, 0.500], [0.500, 0.500, 0.000], [0.167, 0.673, 0.973], [0.806, 0.300, 0.973], [0.327, 0.194, 0.027], [0.700, 0.833, 0.027]]
}

{
  "formula": "TbGa2F8",
  "functional": "GGA-PBE",
  "state": "relaxed",
  "raw_formation_energy_ev_per_atom": -2.936,
  "mass_density_g_cm3": 4.48,
  "relative_energy_kj_per_mol_atoms": 0.0,
  "cell": [[5.284, -0.244, -0.185], [-0.331, 5.674, -0.255], [-0.331, 1.282, 5.533]],
  "species": ["Tb", "Ga", "Ga", "F", "F", "F", "F", "F", "F", "F", "F"],
  "frac_coords": [[0.000, 0.000, 0.000], [0.259, 0.579, 0.579], [0.741, 0.421, 0.421], [0.251, 0.313, 0.846], [0.749, 0.154, 0.687], [0.179, 0.786, 0.786], [0.821, 0.214, 0.214], [0.251, 0.846, 0.313], [0.749, 0.687, 0.154], [0.624, 0.632, 0.632], [0.376, 0.368, 0.368]]
}